[1]
This record from the Alexandria database describes Rb2AuSe after structural relaxation. The functional is PBE-GGA.

Unit cell a=5.462 b=5.839 c=10.107 alpha=90.00 beta=90.00 gamma=90.00
Fractional positions:
Rb  0.250  0.250  0.082
Rb  0.250  0.750  0.585
Rb  0.750  0.250  0.415
Rb  0.750  0.750  0.918
Au  0.250  0.750  0.249
Au  0.750  0.250  0.751
Se  0.250  0.250  0.751
Se  0.750  0.750  0.249

## Properties
SG = Pmmn
calculated total energy = -2.80 eV/atom
formation energy without anion corrections = -624 meV/atom
density of states at the Fermi level = 0.981 states/eV/f.u.


[2]
This record from the Alexandria database describes Ba3SrLi8 after structural relaxation. The functional is PBE-GGA.

Unit cell a=6.601 b=6.601 c=10.649 alpha=90.00 beta=90.00 gamma=120.00
Fractional positions:
Ba  0.000  0.000  0.000
Ba  0.000  0.000  0.384
Ba  0.333  0.667  0.882
Sr  0.333  0.667  0.504
Li  0.344  0.172  0.689
Li  0.502  0.005  0.196
Li  0.502  0.498  0.196
Li  0.667  0.333  0.446
Li  0.667  0.333  0.945
Li  0.828  0.172  0.689
Li  0.828  0.656  0.689
Li  0.995  0.498  0.196

## Properties
SG = P3m1
calculated total energy = -1.88 eV/atom
calculated formation energy = 1.8 kJ per mole of atoms
energy relative to the lowest polymorph listed for this composition = 0.000 eV/atom
density of states at the Fermi level = 10.128 states/eV/f.u.


[3]
This record from the Alexandria database describes NaGa2Au after structural relaxation. The functional is PBE-GGA.

Unit cell a=3.391 b=3.391 c=7.254 alpha=90.00 beta=90.00 gamma=90.00
Fractional positions:
Na  0.000  0.000  0.000
Ga  0.500  0.500  0.294
Ga  0.500  0.500  0.706
Au  0.000  0.000  0.500

## Properties
SG = P4/mmm
calculated total energy = -2.81 eV/atom
calculated formation energy = -13.8 kJ per mole of atoms
density of states at the Fermi level = 1.240 states/eV/f.u.


[4]
This record from the Alexandria database describes CsMg4Bi2Sb after structural relaxation. The functional is PBE-GGA.

Unit cell a=4.818 b=4.818 c=11.727 alpha=90.00 beta=90.00 gamma=90.00
Fractional positions:
Cs  0.000  0.000  0.000
Mg  0.000  0.500  0.343
Mg  0.000  0.500  0.657
Mg  0.500  0.000  0.343
Mg  0.500  0.000  0.657
Bi  0.500  0.500  0.201
Bi  0.500  0.500  0.799
Sb  0.000  0.000  0.500

## Properties
SG = P4/mmm
calculated total energy = -2.81 eV/atom
formation energy without anion corrections = -418 meV/atom


[5]
This record from the Alexandria database describes Ga3CuNi6 after structural relaxation. The functional is PBE-GGA.

Unit cell a=6.799 b=4.168 c=8.953 alpha=90.00 beta=111.30 gamma=90.00
Fractional positions:
Ga  0.076  0.250  0.225
Ga  0.301  0.250  0.020
Ga  0.325  0.750  0.379
Ga  0.675  0.250  0.621
Ga  0.699  0.750  0.980
Ga  0.924  0.750  0.775
Cu  0.111  0.750  0.570
Cu  0.889  0.250  0.430
Ni  0.088  0.250  0.724
Ni  0.109  0.750  0.073
Ni  0.288  0.250  0.525
Ni  0.307  0.750  0.868
Ni  0.487  0.250  0.321
Ni  0.487  0.250  0.825
Ni  0.513  0.750  0.175
Ni  0.513  0.750  0.679
Ni  0.693  0.250  0.132
Ni  0.712  0.750  0.475
Ni  0.891  0.250  0.927
Ni  0.912  0.750  0.276

## Properties
SG = P2_1/m
calculated total energy = -5.06 eV/atom
calculated formation energy = -26.2 kJ per mole of atoms
energy relative to the lowest polymorph listed for this composition = 0.000 eV/atom
density of states at the Fermi level = 6.390 states/eV/f.u.


[6]
This record from the Alexandria database describes NpZn2Si2Pt7 after structural relaxation. The functional is PBE-GGA.

Unit cell a=3.915 b=3.915 c=14.348 alpha=96.61 beta=96.61 gamma=89.71
Fractional positions:
Np  0.000  0.000  0.000
Zn  0.095  0.095  0.411
Zn  0.905  0.905  0.589
Si  0.390  0.390  0.736
Si  0.610  0.610  0.264
Pt  0.068  0.569  0.163
Pt  0.378  0.378  0.576
Pt  0.431  0.932  0.837
Pt  0.500  0.500  0.000
Pt  0.569  0.068  0.163
Pt  0.622  0.622  0.424
Pt  0.932  0.431  0.837

## Properties
SG = C2/m
calculated total energy = -6.20 eV/atom
formation energy without anion corrections = -478 meV/atom
density of states at the Fermi level = 9.379 states/eV/f.u.


[7]
This record from the Alexandria database describes BeNi3Pt12 after structural relaxation. The functional is PBE-GGA.

Unit cell a=3.864 b=3.864 c=15.567 alpha=90.00 beta=90.00 gamma=90.00
Fractional positions:
Be  0.000  0.000  0.000
Ni  0.000  0.000  0.250
Ni  0.000  0.000  0.500
Ni  0.000  0.000  0.750
Pt  0.000  0.500  0.122
Pt  0.000  0.500  0.374
Pt  0.000  0.500  0.626
Pt  0.000  0.500  0.878
Pt  0.500  0.000  0.122
Pt  0.500  0.000  0.374
Pt  0.500  0.000  0.626
Pt  0.500  0.000  0.878
Pt  0.500  0.500  0.000
Pt  0.500  0.500  0.248
Pt  0.500  0.500  0.500
Pt  0.500  0.500  0.752

## Properties
SG = P4/mmm
calculated total energy = -5.98 eV/atom
calculated formation energy = -12.3 kJ per mole of atoms
density of states at the Fermi level = 23.093 states/eV/f.u.


[8]
This record from the Alexandria database describes Y3VBr after structural relaxation. The functional is PBE-GGA.

Unit cell a=5.325 b=5.325 c=5.325 alpha=90.00 beta=90.00 gamma=90.00
Fractional positions:
Y  0.000  0.000  0.500
Y  0.000  0.500  0.000
Y  0.500  0.000  0.000
V  0.500  0.500  0.500
Br  0.000  0.000  0.000

## Properties
SG = Pm-3m
calculated total energy = -5.77 eV/atom
formation energy without anion corrections = 272 meV/atom
energy relative to the lowest polymorph listed for this composition = 0.000 eV/atom
density of states at the Fermi level = 8.291 states/eV/f.u.


[9]
This record from the Alexandria database describes Fe2OsPb after structural relaxation. The functional is PBE-GGA.

Unit cell a=6.899 b=6.899 c=5.553 alpha=90.00 beta=90.00 gamma=90.00
Fractional positions:
Fe  0.202  0.250  0.125
Fe  0.250  0.702  0.375
Fe  0.250  0.798  0.875
Fe  0.298  0.250  0.625
Fe  0.702  0.750  0.625
Fe  0.750  0.202  0.875
Fe  0.750  0.298  0.375
Fe  0.798  0.750  0.125
Os  0.000  0.000  0.000
Os  0.000  0.500  0.250
Os  0.500  0.000  0.750
Os  0.500  0.500  0.500
Pb  0.000  0.000  0.500
Pb  0.000  0.500  0.750
Pb  0.500  0.000  0.250
Pb  0.500  0.500  0.000

## Properties
SG = I-42d
calculated total energy = -6.90 eV/atom
calculated formation energy = 102.8 kJ per mole of atoms
density of states at the Fermi level = 8.920 states/eV/f.u.


[10]
This record from the Alexandria database describes Li3As5Au12 after structural relaxation. The functional is PBE-GGA.

Unit cell a=13.140 b=13.140 c=13.140 alpha=109.47 beta=109.47 gamma=109.47
Fractional positions:
Li  0.125  0.250  0.375
Li  0.125  0.375  0.750
Li  0.250  0.375  0.125
Li  0.250  0.875  0.625
Li  0.375  0.125  0.250
Li  0.375  0.750  0.125
Li  0.625  0.250  0.875
Li  0.625  0.875  0.750
Li  0.750  0.125  0.375
Li  0.750  0.625  0.875
Li  0.875  0.625  0.250
Li  0.875  0.750  0.625
As  0.000  0.000  0.000
As  0.000  0.000  0.500
As  0.000  0.500  0.000
As  0.000  0.500  0.500
As  0.125  0.750  0.875
As  0.125  0.875  0.250
As  0.250  0.125  0.875
As  0.250  0.625  0.375
As  0.375  0.250  0.625
As  0.375  0.625  0.750
As  0.500  0.000  0.000
As  0.500  0.000  0.500
As  0.500  0.500  0.000
As  0.500  0.500  0.500
As  0.625  0.375  0.250
As  0.625  0.750  0.375
As  0.750  0.375  0.625
As  0.750  0.875  0.125
As  0.875  0.125  0.750
As  0.875  0.250  0.125
Au  0.062  0.226  0.145
Au  0.062  0.336  0.917
Au  0.081  0.726  0.664
Au  0.081  0.855  0.417
Au  0.083  0.645  0.419
Au  0.083  0.938  0.664
Au  0.145  0.062  0.226
Au  0.145  0.583  0.919
Au  0.164  0.226  0.581
Au  0.164  0.438  0.583
Au  0.226  0.145  0.062
Au  0.226  0.581  0.164
Au  0.274  0.336  0.919
Au  0.274  0.438  0.355
Au  0.336  0.917  0.062
Au  0.336  0.919  0.274
Au  0.355  0.274  0.438
Au  0.355  0.581  0.917
Au  0.417  0.081  0.855
Au  0.417  0.836  0.562
Au  0.419  0.083  0.645
Au  0.419  0.836  0.774
Au  0.438  0.355  0.274
Au  0.438  0.583  0.164
Au  0.562  0.417  0.836
Au  0.562  0.645  0.726
Au  0.581  0.164  0.226
Au  0.581  0.917  0.355
Au  0.583  0.164  0.438
Au  0.583  0.919  0.145
Au  0.645  0.419  0.083
Au  0.645  0.726  0.562
Au  0.664  0.081  0.726
Au  0.664  0.083  0.938
Au  0.726  0.562  0.645
Au  0.726  0.664  0.081
Au  0.774  0.419  0.836
Au  0.774  0.855  0.938
Au  0.836  0.562  0.417
Au  0.836  0.774  0.419
Au  0.855  0.417  0.081
Au  0.855  0.938  0.774
Au  0.917  0.062  0.336
Au  0.917  0.355  0.581
Au  0.919  0.145  0.583
Au  0.919  0.274  0.336
Au  0.938  0.664  0.083
Au  0.938  0.774  0.855

## Properties
SG = Ia-3d
calculated total energy = -3.42 eV/atom
calculated formation energy = -0.5 kJ per mole of atoms
density of states at the Fermi level = 8.635 states/eV/f.u.


[11]
This record from the Alexandria database describes KLaBe after structural relaxation. The functional is PBE-GGA.

Unit cell a=3.811 b=3.811 c=8.394 alpha=90.00 beta=90.00 gamma=120.00
Fractional positions:
K  0.000  0.000  0.000
La  0.667  0.333  0.472
Be  0.333  0.667  0.698

## Properties
SG = P3m1
calculated total energy = -2.58 eV/atom
calculated formation energy = 64.4 kJ per mole of atoms
energy relative to the lowest polymorph listed for this composition = 0.177 eV/atom
density of states at the Fermi level = 2.072 states/eV/f.u.


[12]
This record from the Alexandria database describes In12Ge5Pb3 after structural relaxation. The functional is PBE-GGA.

Unit cell a=14.775 b=14.775 c=14.775 alpha=109.47 beta=109.47 gamma=109.47
Fractional positions:
In  0.044  0.217  0.123
In  0.044  0.327  0.921
In  0.079  0.623  0.406
In  0.079  0.956  0.673
In  0.094  0.717  0.673
In  0.094  0.877  0.421
In  0.123  0.044  0.217
In  0.123  0.579  0.906
In  0.173  0.217  0.594
In  0.173  0.456  0.579
In  0.217  0.123  0.044
In  0.217  0.594  0.173
In  0.283  0.327  0.906
In  0.283  0.456  0.377
In  0.327  0.906  0.283
In  0.327  0.921  0.044
In  0.377  0.283  0.456
In  0.377  0.594  0.921
In  0.406  0.079  0.623
In  0.406  0.827  0.783
In  0.421  0.094  0.877
In  0.421  0.827  0.544
In  0.456  0.377  0.283
In  0.456  0.579  0.173
In  0.544  0.421  0.827
In  0.544  0.623  0.717
In  0.579  0.173  0.456
In  0.579  0.906  0.123
In  0.594  0.173  0.217
In  0.594  0.921  0.377
In  0.623  0.406  0.079
In  0.623  0.717  0.544
In  0.673  0.079  0.956
In  0.673  0.094  0.717
In  0.717  0.544  0.623
In  0.717  0.673  0.094
In  0.783  0.406  0.827
In  0.783  0.877  0.956
In  0.827  0.544  0.421
In  0.827  0.783  0.406
In  0.877  0.421  0.094
In  0.877  0.956  0.783
In  0.906  0.123  0.579
In  0.906  0.283  0.327
In  0.921  0.044  0.327
In  0.921  0.377  0.594
In  0.956  0.673  0.079
In  0.956  0.783  0.877
Ge  0.000  0.000  0.000
Ge  0.000  0.000  0.500
Ge  0.000  0.500  0.000
Ge  0.000  0.500  0.500
Ge  0.125  0.750  0.875
Ge  0.125  0.875  0.250
Ge  0.250  0.125  0.875
Ge  0.250  0.625  0.375
Ge  0.375  0.250  0.625
Ge  0.375  0.625  0.750
Ge  0.500  0.000  0.000
Ge  0.500  0.000  0.500
Ge  0.500  0.500  0.000
Ge  0.500  0.500  0.500
Ge  0.625  0.375  0.250
Ge  0.625  0.750  0.375
Ge  0.750  0.375  0.625
Ge  0.750  0.875  0.125
Ge  0.875  0.125  0.750
Ge  0.875  0.250  0.125
Pb  0.125  0.250  0.375
Pb  0.125  0.375  0.750
Pb  0.250  0.375  0.125
Pb  0.250  0.875  0.625
Pb  0.375  0.125  0.250
Pb  0.375  0.750  0.125
Pb  0.625  0.250  0.875
Pb  0.625  0.875  0.750
Pb  0.750  0.125  0.375
Pb  0.750  0.625  0.875
Pb  0.875  0.625  0.250
Pb  0.875  0.750  0.625

## Properties
SG = Ia-3d
calculated total energy = -3.16 eV/atom
calculated formation energy = 18.5 kJ per mole of atoms
density of states at the Fermi level = 10.474 states/eV/f.u.


Listing total magnetization for the structures above in their given order: 0.00 0.00 0.00 0.00 0.00 0.27 0.18 0.63 0.00 0.00 0.00 0.00 μB per atom.